Here is an optimized crystal structure of PmHf2VO8 from Alexandria via LeMat-Bulk. Energies are from PBE with a Hubbard U.

Cell: 4.877 4.874 6.520 Å, 90.00 90.00 88.37°
Fractional positions:
Pm  0.000  0.000  0.500
Hf  0.500  0.500  0.758
Hf  0.500  0.500  0.242
V  0.000  0.000  0.000
O  0.194  0.806  0.205
O  0.706  0.707  0.000
O  0.806  0.194  0.205
O  0.806  0.194  0.795
O  0.294  0.293  0.000
O  0.194  0.806  0.795
O  0.676  0.676  0.500
O  0.324  0.324  0.500

## Properties
Total DFT energy (no corrections) in eV per cell: -107.04
DOS(E_F) in states/eV per cell: 0.00
SG: No. 65